Record 1
# Tb5Fe2I2

Crystalline Tb5Fe2I2 at its relaxed geometry (GGA-PBE, Alexandria).

```
data_Tb5Fe2I2
_chemical_formula_sum 'Tb10 Fe4 I4'
_cell_length_a 7.667
_cell_length_b 7.655
_cell_length_c 9.249
_cell_angle_alpha 90.00
_cell_angle_beta 65.51
_cell_angle_gamma 90.00
_space_group_name_H-M_alt 'P 1'
_space_group_IT_number 1
loop_
_space_group_symop_operation_xyz
'x,y,z'
loop_
_atom_site_label
_atom_site_type_symbol
_atom_site_fract_x
_atom_site_fract_y
_atom_site_fract_z
Tb1 Tb 0.000 0.000 0.000
Tb2 Tb 0.500 0.500 0.000
Tb3 Tb 0.443 0.163 0.787
Tb4 Tb 0.770 0.837 0.787
Tb5 Tb 0.270 0.663 0.787
Tb6 Tb 0.943 0.337 0.787
Tb7 Tb 0.557 0.837 0.213
Tb8 Tb 0.230 0.163 0.213
Tb9 Tb 0.730 0.337 0.213
Tb10 Tb 0.057 0.663 0.213
Fe1 Fe 0.119 0.383 0.000
Fe2 Fe 0.881 0.617 0.000
Fe3 Fe 0.381 0.883 0.000
Fe4 Fe 0.619 0.117 0.000
I1 I 0.216 0.000 0.568
I2 I 0.716 0.500 0.568
I3 I 0.784 0.000 0.432
I4 I 0.284 0.500 0.432
```

Results
**Calculated total energy**: -5.158 eV/atom

Record 2
# TbThFeI

Crystalline TbThFeI at its relaxed geometry (GGA-PBE, Alexandria).

```
data_TbThFeI
_chemical_formula_sum 'Tb1 Th1 Fe1 I1'
_cell_length_a 4.000
_cell_length_b 3.992
_cell_length_c 8.342
_cell_angle_alpha 90.64
_cell_angle_beta 103.23
_cell_angle_gamma 119.69
_space_group_name_H-M_alt 'P 1'
_space_group_IT_number 1
loop_
_space_group_symop_operation_xyz
'x,y,z'
loop_
_atom_site_label
_atom_site_type_symbol
_atom_site_fract_x
_atom_site_fract_y
_atom_site_fract_z
Tb1 Tb 0.509 0.155 0.681
Th1 Th 0.089 0.931 0.031
Fe1 Fe 0.302 0.562 0.883
I1 I 0.978 0.383 0.374
```

Results
**Calculated total energy**: -5.959 eV/atom

Record 3
# Fe2TcI

Crystalline Fe2TcI at its relaxed geometry (GGA-PBE, Alexandria).

```
data_Fe2TcI
_chemical_formula_sum 'Fe4 Tc2 I2'
_cell_length_a 5.630
_cell_length_b 5.630
_cell_length_c 6.540
_cell_angle_alpha 64.51
_cell_angle_beta 64.51
_cell_angle_gamma 90.00
_space_group_name_H-M_alt 'P 1'
_space_group_IT_number 1
loop_
_space_group_symop_operation_xyz
'x,y,z'
loop_
_atom_site_label
_atom_site_type_symbol
_atom_site_fract_x
_atom_site_fract_y
_atom_site_fract_z
I1 I 0.000 0.000 0.000
I2 I 0.750 0.250 0.500
Tc1 Tc 0.500 0.500 0.000
Tc2 Tc 0.250 0.750 0.500
Fe1 Fe 0.589 0.125 0.250
Fe2 Fe 0.161 0.625 0.250
Fe3 Fe 0.375 0.411 0.750
Fe4 Fe 0.875 0.839 0.750
```

Results
**Calculated total energy**: -6.083 eV/atom
**E above lowest polymorph**: 0.50 eV per formula unit

Record 4
# Fe2TcI

Crystalline Fe2TcI at its relaxed geometry (GGA-PBE, Alexandria).

```
data_Fe2TcI
_chemical_formula_sum 'Fe2 Tc1 I1'
_cell_length_a 4.380
_cell_length_b 4.380
_cell_length_c 4.380
_cell_angle_alpha 60.00
_cell_angle_beta 60.00
_cell_angle_gamma 60.00
_space_group_name_H-M_alt 'P 1'
_space_group_IT_number 1
loop_
_space_group_symop_operation_xyz
'x,y,z'
loop_
_atom_site_label
_atom_site_type_symbol
_atom_site_fract_x
_atom_site_fract_y
_atom_site_fract_z
I1 I 0.500 0.500 0.500
Tc1 Tc 0.000 0.000 0.000
Fe1 Fe 0.250 0.250 0.250
Fe2 Fe 0.750 0.750 0.750
```

Results
**Calculated total energy**: -6.208 eV/atom
**E above lowest polymorph**: 0.00 eV per formula unit

Record 5
# Fe2TcI8

Crystalline Fe2TcI8 at its relaxed geometry (GGA-PBE, Alexandria).

```
data_Fe2TcI8
_chemical_formula_sum 'Fe2 Tc1 I8'
_cell_length_a 6.687
_cell_length_b 8.510
_cell_length_c 8.510
_cell_angle_alpha 81.24
_cell_angle_beta 87.75
_cell_angle_gamma 87.75
_space_group_name_H-M_alt 'P 1'
_space_group_IT_number 1
loop_
_space_group_symop_operation_xyz
'x,y,z'
loop_
_atom_site_label
_atom_site_type_symbol
_atom_site_fract_x
_atom_site_fract_y
_atom_site_fract_z
I1 I 0.219 0.269 0.901
I2 I 0.781 0.099 0.731
I3 I 0.251 0.822 0.822
I4 I 0.749 0.178 0.178
I5 I 0.219 0.901 0.269
I6 I 0.781 0.731 0.099
I7 I 0.732 0.628 0.628
I8 I 0.268 0.372 0.372
Fe1 Fe 0.645 0.819 0.819
Fe2 Fe 0.355 0.181 0.181
Tc1 Tc 0.000 0.000 0.000
```

Results
**Calculated total energy**: -3.713 eV/atom

Record 6
# FeTc2I

Crystalline FeTc2I at its relaxed geometry (GGA-PBE, Alexandria).

```
data_FeTc2I
_chemical_formula_sum 'Fe1 Tc2 I1'
_cell_length_a 4.406
_cell_length_b 4.406
_cell_length_c 4.406
_cell_angle_alpha 60.00
_cell_angle_beta 60.00
_cell_angle_gamma 60.00
_space_group_name_H-M_alt 'P 1'
_space_group_IT_number 1
loop_
_space_group_symop_operation_xyz
'x,y,z'
loop_
_atom_site_label
_atom_site_type_symbol
_atom_site_fract_x
_atom_site_fract_y
_atom_site_fract_z
I1 I 0.500 0.500 0.500
Tc1 Tc 0.250 0.250 0.250
Tc2 Tc 0.750 0.750 0.750
Fe1 Fe 0.000 0.000 0.000
```

Results
**Calculated total energy**: -6.774 eV/atom
**E above lowest polymorph**: 0.00 eV per formula unit

Record 7
# FeTc2I

Crystalline FeTc2I at its relaxed geometry (GGA-PBE, Alexandria).

```
data_FeTc2I
_chemical_formula_sum 'Fe2 Tc4 I2'
_cell_length_a 5.528
_cell_length_b 5.528
_cell_length_c 6.866
_cell_angle_alpha 66.26
_cell_angle_beta 66.26
_cell_angle_gamma 90.00
_space_group_name_H-M_alt 'P 1'
_space_group_IT_number 1
loop_
_space_group_symop_operation_xyz
'x,y,z'
loop_
_atom_site_label
_atom_site_type_symbol
_atom_site_fract_x
_atom_site_fract_y
_atom_site_fract_z
I1 I 0.000 0.000 0.000
I2 I 0.750 0.250 0.500
Tc1 Tc 0.561 0.125 0.250
Tc2 Tc 0.189 0.625 0.250
Tc3 Tc 0.375 0.439 0.750
Tc4 Tc 0.875 0.811 0.750
Fe1 Fe 0.500 0.500 0.000
Fe2 Fe 0.250 0.750 0.500
```

Results
**Calculated total energy**: -6.569 eV/atom
**E above lowest polymorph**: 0.82 eV per formula unit

Record 8
# FeTcTeI2

Crystalline FeTcTeI2 at its relaxed geometry (GGA-PBE, Alexandria).

```
data_FeTcTeI2
_chemical_formula_sum 'Fe1 Tc1 Te1 I2'
_cell_length_a 5.268
_cell_length_b 5.268
_cell_length_c 5.439
_cell_angle_alpha 90.00
_cell_angle_beta 90.00
_cell_angle_gamma 90.00
_space_group_name_H-M_alt 'P 1'
_space_group_IT_number 1
loop_
_space_group_symop_operation_xyz
'x,y,z'
loop_
_atom_site_label
_atom_site_type_symbol
_atom_site_fract_x
_atom_site_fract_y
_atom_site_fract_z
I1 I 0.000 0.500 0.000
I2 I 0.500 0.000 0.000
Te1 Te 0.000 0.000 0.500
Tc1 Tc 0.500 0.500 0.500
Fe1 Fe 0.000 0.000 0.000
```

Results
**Calculated total energy**: -3.946 eV/atom
**E above lowest polymorph**: 0.44 eV per formula unit

Record 9
# FeTcTeI2

Crystalline FeTcTeI2 at its relaxed geometry (GGA-PBE, Alexandria).

```
data_FeTcTeI2
_chemical_formula_sum 'Fe1 Tc1 Te1 I2'
_cell_length_a 5.508
_cell_length_b 5.508
_cell_length_c 5.067
_cell_angle_alpha 90.00
_cell_angle_beta 90.00
_cell_angle_gamma 90.00
_space_group_name_H-M_alt 'P 1'
_space_group_IT_number 1
loop_
_space_group_symop_operation_xyz
'x,y,z'
loop_
_atom_site_label
_atom_site_type_symbol
_atom_site_fract_x
_atom_site_fract_y
_atom_site_fract_z
I1 I 0.000 0.500 0.000
I2 I 0.500 0.000 0.000
Te1 Te 0.000 0.000 0.500
Tc1 Tc 0.000 0.000 0.000
Fe1 Fe 0.500 0.500 0.500
```

Results
**Calculated total energy**: -4.034 eV/atom
**E above lowest polymorph**: 0.00 eV per formula unit

Record 10
# FeTcTe2I

Crystalline FeTcTe2I at its relaxed geometry (GGA-PBE, Alexandria).

```
data_FeTcTe2I
_chemical_formula_sum 'Fe1 Tc1 Te2 I1'
_cell_length_a 5.090
_cell_length_b 5.090
_cell_length_c 5.537
_cell_angle_alpha 90.00
_cell_angle_beta 90.00
_cell_angle_gamma 90.00
_space_group_name_H-M_alt 'P 1'
_space_group_IT_number 1
loop_
_space_group_symop_operation_xyz
'x,y,z'
loop_
_atom_site_label
_atom_site_type_symbol
_atom_site_fract_x
_atom_site_fract_y
_atom_site_fract_z
I1 I 0.000 0.000 0.500
Te1 Te 0.000 0.500 0.000
Te2 Te 0.500 0.000 0.000
Tc1 Tc 0.500 0.500 0.500
Fe1 Fe 0.000 0.000 0.000
```

Results
**Calculated total energy**: -4.246 eV/atom
**E above lowest polymorph**: 0.54 eV per formula unit

Record 11
# FeTcTe2I

Crystalline FeTcTe2I at its relaxed geometry (GGA-PBE, Alexandria).

```
data_FeTcTe2I
_chemical_formula_sum 'Fe1 Tc1 Te2 I1'
_cell_length_a 5.135
_cell_length_b 5.135
_cell_length_c 5.708
_cell_angle_alpha 90.00
_cell_angle_beta 90.00
_cell_angle_gamma 90.00
_space_group_name_H-M_alt 'P 1'
_space_group_IT_number 1
loop_
_space_group_symop_operation_xyz
'x,y,z'
loop_
_atom_site_label
_atom_site_type_symbol
_atom_site_fract_x
_atom_site_fract_y
_atom_site_fract_z
I1 I 0.000 0.000 0.500
Te1 Te 0.000 0.500 0.000
Te2 Te 0.500 0.000 0.000
Tc1 Tc 0.000 0.000 0.000
Fe1 Fe 0.500 0.500 0.500
```

Results
**Calculated total energy**: -4.354 eV/atom
**E above lowest polymorph**: 0.00 eV per formula unit

Record 12
# FeTeI3

Crystalline FeTeI3 at its relaxed geometry (GGA-PBE, Alexandria).

```
data_FeTeI3
_chemical_formula_sum 'Fe2 Te2 I6'
_cell_length_a 9.017
_cell_length_b 8.138
_cell_length_c 8.217
_cell_angle_alpha 117.63
_cell_angle_beta 90.00
_cell_angle_gamma 90.00
_space_group_name_H-M_alt 'P 1'
_space_group_IT_number 1
loop_
_space_group_symop_operation_xyz
'x,y,z'
loop_
_atom_site_label
_atom_site_type_symbol
_atom_site_fract_x
_atom_site_fract_y
_atom_site_fract_z
Fe1 Fe 0.940 0.171 0.506
Fe2 Fe 0.440 0.829 0.494
Te1 Te 0.185 0.330 0.647
Te2 Te 0.685 0.670 0.353
I1 I 0.880 0.090 0.181
I2 I 0.380 0.910 0.819
I3 I 0.346 0.534 0.222
I4 I 0.935 0.878 0.566
I5 I 0.846 0.466 0.778
I6 I 0.435 0.122 0.434
```

Results
**Calculated total energy**: -3.253 eV/atom
**E above lowest polymorph**: 0.00 eV per formula unit

Record 13
# FeTe2I8

Crystalline FeTe2I8 at its relaxed geometry (GGA-PBE, Alexandria).

```
data_FeTe2I8
_chemical_formula_sum 'Fe1 Te2 I8'
_cell_length_a 7.852
_cell_length_b 8.201
_cell_length_c 11.379
_cell_angle_alpha 95.38
_cell_angle_beta 90.00
_cell_angle_gamma 118.60
_space_group_name_H-M_alt 'P 1'
_space_group_IT_number 1
loop_
_space_group_symop_operation_xyz
'x,y,z'
loop_
_atom_site_label
_atom_site_type_symbol
_atom_site_fract_x
_atom_site_fract_y
_atom_site_fract_z
I1 I 0.852 0.168 0.129
I2 I 0.317 0.168 0.129
I3 I 0.148 0.832 0.871
I4 I 0.369 0.738 0.245
I5 I 0.683 0.832 0.871
I6 I 0.722 0.444 0.412
I7 I 0.278 0.556 0.588
I8 I 0.631 0.262 0.755
Te1 Te 0.791 0.582 0.650
Te2 Te 0.209 0.418 0.350
Fe1 Fe 0.000 0.000 0.000
```

Results
**Calculated total energy**: -2.437 eV/atom

Density of states at the Fermi level values, unit states/eV/f.u., following the record order: 8.16; 1.73; 3.75; 5.06; 5.55; 4.62; 3.57; 7.41; 8.12; 8.00; 10.52; 0.78; 9.31.